A plane-wave DFT calculation with PBE-GGA was carried out for a relaxed structure of InIr2Rh.

Output
The energy of formation from the pure elements comes out at 228 meV per atom.

Cell: 6.3538 6.3538 6.3538 Å, 90.00 90.00 90.00°
Closest atoms and distances in Å follow each position.
Space group F-43m (No. 216)
Inequivalent atoms, fractional coordinates:
1 In 0.0000 0.0000 0.0000  4 Ir 2.75, 4 Rh 2.75
2 Ir 0.0000 0.0000 0.5000  4 Rh 2.75, 4 Ir 2.75
3 Ir 0.2500 0.2500 0.2500  4 Ir 2.75, 4 In 2.75
4 Rh 0.2500 0.2500 0.7500  4 In 2.75, 4 Ir 2.75

A plane-wave DFT calculation with PBE-GGA was carried out for a relaxed structure of DyMgAg4.

Output
As for the energy above the most stable polymorph in this dataset: 25 meV per atom. The energy of formation from the pure elements comes out at -186 meV per atom.

Cell: 7.9100 7.9100 7.9100 Å, 90.00 90.00 90.00°
Closest atoms and distances in Å follow each position.
Space group F-43m (No. 216)
Inequivalent atoms, fractional coordinates:
1 Dy 0.0000 0.0000 0.0000  12 Ag 3.28, 4 Mg 3.43
2 Mg 0.2500 0.2500 0.2500  12 Ag 3.28, 4 Dy 3.43
3 Ag 0.1246 0.1246 0.6246  6 Ag 2.79-2.80

A plane-wave DFT calculation with PBE-GGA was carried out for a relaxed structure of AuIBr2.

Output
As for the energy above the most stable polymorph in this dataset: 148 meV per atom. The raw formation energy comes out at 0.09 eV/atom.

Cell: 4.3100 4.3100 25.4484 Å, 90.00 90.00 120.00°
Closest atoms and distances in Å follow each position.
Space group R-3m (No. 166, hexagonal axes)
Inequivalent atoms, fractional coordinates:
1 Au 0.0000 0.0000 0.0000  6 Br 2.88
2 I 0.0000 0.0000 0.5000  2 Br 2.78
3 Br 0.0000 0.0000 0.3906  1 I 2.78, 3 Au 2.88

A plane-wave DFT calculation with PBE-GGA was carried out for a relaxed structure of TlHgSe.

Output
As for the energy above the most stable polymorph in this dataset: 82 meV per atom. The raw formation energy comes out at -0.15 eV/atom.

Cell: 4.4308 4.4332 5.4515 Å, 90.01 90.69 90.18°
Closest atoms and distances in Å follow each position.
Space group P1 (No. 1)
Inequivalent atoms, fractional coordinates:
1 Tl 0.0000 0.0000 0.0000  4 Se 3.25-3.28, 2 Hg 3.63-3.64
2 Hg 0.5003 0.4998 0.3437  2 Se 2.65-2.80
3 Se 0.5001 0.5002 0.8306  2 Hg 2.65-2.80

A plane-wave DFT calculation with PBE-GGA was carried out for a relaxed structure of Ta2MnIn.

Output
The energy of formation from the pure elements comes out at 157 meV per atom.

Cell: 3.6295 4.3086 4.4913 Å, 90.00 90.00 90.00°
Closest atoms and distances in Å follow each position.
Space group Pmmm (No. 47)
Inequivalent atoms, fractional coordinates:
1 Ta 0.0000 0.0000 0.0000  4 Ta 2.82, 4 In 2.89, 4 Mn 3.11
2 Ta 0.5000 0.5000 0.0000  4 Ta 2.82, 4 Mn 2.89, 4 In 3.11
3 Mn 0.0000 0.5000 0.5000  4 In 2.82, 8 Ta 2.89-3.11
4 In 0.5000 0.0000 0.5000  4 Mn 2.82, 8 Ta 2.89-3.11

A plane-wave DFT calculation with PBE-GGA was carried out for a relaxed structure of Pr6Tl2Ir.

Output
The energy of formation from the pure elements comes out at -285 meV per atom.

Cell: 7.4604 7.5321 12.9415 Å, 90.00 123.13 90.00°
Closest atoms and distances in Å follow each position.
Space group P2_1/c (No. 14)
Inequivalent atoms, fractional coordinates:
1 Pr 0.1478 0.1996 0.4581  1 Ir 2.81
2 Pr 0.2629 0.6885 0.4594  1 Ir 2.81
3 Pr 0.3425 0.0043 0.2475  1 Ir 2.80
4 Tl 0.2174 0.0706 0.7442  7 Pr 3.26-3.58
5 Ir 0.5000 0.0000 0.5000  6 Pr 2.80-2.81

A plane-wave DFT calculation with PBE-GGA was carried out for a relaxed structure of Rb2SrZrS4.

Output
The raw formation energy comes out at -1.55 eV/atom.

Cell: 8.1675 9.0004 12.1876 Å, 90.00 90.00 90.00°
Closest atoms and distances in Å follow each position.
Space group Imma (No. 74)
Inequivalent atoms, fractional coordinates:
1 Rb 0.0000 0.0000 0.0000  6 S 3.15-3.17
2 Rb 0.2500 0.2500 0.2500  6 S 3.42-3.52
3 Sr 0.0000 0.0000 0.5000  6 S 2.99-3.02
4 Zr 0.2500 0.2500 0.7500  6 S 2.58-2.70
5 S 0.0000 0.0544 0.7446  2 Zr 2.70
6 S 0.2334 0.2500 0.5383  1 Zr 2.58

A plane-wave DFT calculation with PBE-GGA was carried out for a relaxed structure of CsK2AgPd.

Output
As for the energy above the most stable polymorph in this dataset: 0 meV per atom. The energy of formation from the pure elements comes out at 98 meV per atom.

Cell: 6.1509 6.1509 5.5226 Å, 90.00 90.00 90.00°
Closest atoms and distances in Å follow each position.
Space group P4/mmm (No. 123)
Inequivalent atoms, fractional coordinates:
1 Cs 0.0000 0.0000 0.0000  8 K 4.13, 4 Ag 4.35
2 K 0.0000 0.5000 0.5000  2 Pd 3.08
3 Ag 0.5000 0.5000 0.0000  2 Pd 2.76
4 Pd 0.5000 0.5000 0.5000  2 Ag 2.76, 4 K 3.08

A plane-wave DFT calculation with PBE-GGA was carried out for a relaxed structure of VZnH.

Output
As for the energy above the most stable polymorph in this dataset: 41 meV per atom.

Cell: 5.2623 2.6288 4.3318 Å, 90.00 90.00 90.00°
Closest atoms and distances in Å follow each position.
Space group Pmma (No. 51)
Inequivalent atoms, fractional coordinates:
1 V 0.0000 0.0000 0.0000  4 H 1.87
2 Zn 0.2500 0.5000 0.4872  1 H 2.00
3 H 0.2500 0.5000 0.9485  4 V 1.87, 1 Zn 2.00

A plane-wave DFT calculation with PBE-GGA was carried out for a relaxed structure of Ce3Sm5Se12.

Output
The raw formation energy comes out at -1.66 eV/atom.

Cell: 17.2420 17.2420 17.2420 Å, 90.00 90.00 90.00°
Closest atoms and distances in Å follow each position.
Space group Ia-3d (No. 230)
Inequivalent atoms, fractional coordinates:
1 Ce 0.0000 0.2500 0.1250  8 Se 3.15-3.26
2 Sm 0.0000 0.0000 0.0000  6 Se 2.92
3 Sm 0.0000 0.2500 0.3750  4 Se 2.74
4 Se 0.0212 0.0707 0.6527  2 Sm 2.74-2.92

A plane-wave DFT calculation with PBE-GGA was carried out for a relaxed structure of PrY7Ho12.

Output
As for the energy above the most stable polymorph in this dataset: 476 meV per atom. The energy of formation from the pure elements comes out at 725 meV per atom.

Cell: 11.2409 11.2409 11.2409 Å, 90.00 90.00 90.00°
Closest atoms and distances in Å follow each position.
Space group Im-3m (No. 229)
Inequivalent atoms, fractional coordinates:
1 Pr 0.0000 0.0000 0.0000  12 Ho 4.06
2 Y 0.0000 0.0000 0.5000  12 Ho 3.88-3.98
3 Y 0.2500 0.2500 0.2500  6 Ho 2.81
4 Ho 0.0000 0.2556 0.2556  2 Y 2.81

A plane-wave DFT calculation with PBE-GGA was carried out for a relaxed structure of Si2As2Pb.

Output
As for the energy above the most stable polymorph in this dataset: 132 meV per atom. The raw formation energy comes out at 0.33 eV/atom.

Cell: 4.1509 4.1509 13.1627 Å, 90.00 90.00 90.00°
Closest atoms and distances in Å follow each position.
Space group I4/mmm (No. 139)
Inequivalent atoms, fractional coordinates:
1 Si 0.0000 0.5000 0.2500  4 As 2.57
2 As 0.0000 0.0000 0.1345  4 Si 2.57
3 Pb 0.0000 0.0000 0.5000  8 As 3.43